# 1
Material: La3Tb2Nd8
Method: DFT, PBE-GGA
State: optimized geometry

Computed properties:
Energy of formation from the pure elements: 267 kJ/mol of formula units
Size of the total moment: 0.00 μB/cell
Energy above the most stable polymorph in this dataset: 0.1030 eV/atom

Cell: 11.095 11.095 5.830 Å, 90.02 90.02 41.04°
Positions (direct):
La  0.000  0.000  0.000
La  0.292  0.708  0.500
La  0.708  0.292  0.500
Tb  0.242  0.242  0.999
Tb  0.758  0.758  0.001
Nd  0.136  0.136  0.500
Nd  0.183  0.600  0.000
Nd  0.324  0.324  0.499
Nd  0.400  0.817  0.000
Nd  0.600  0.183  0.000
Nd  0.676  0.676  0.501
Nd  0.817  0.400  0.000
Nd  0.864  0.864  0.500

# 2
Material: LiLaHoTm
Method: DFT, PBE-GGA
State: optimized geometry

Computed properties:
Energy of formation from the pure elements: 62 kJ/mol of formula units
Size of the total moment: 0.00 μB/cell

Cell: 7.838 7.838 7.838 Å, 90.00 90.00 90.00°
Positions (direct):
Li  0.000  0.000  0.000
Li  0.000  0.500  0.500
Li  0.500  0.000  0.500
Li  0.500  0.500  0.000
La  0.250  0.250  0.750
La  0.250  0.750  0.250
La  0.750  0.250  0.250
La  0.750  0.750  0.750
Ho  0.250  0.250  0.250
Ho  0.250  0.750  0.750
Ho  0.750  0.250  0.750
Ho  0.750  0.750  0.250
Tm  0.000  0.000  0.500
Tm  0.000  0.500  0.000
Tm  0.500  0.000  0.000
Tm  0.500  0.500  0.500

# 3
Material: Tm5GaSb2
Method: DFT, PBE-GGA
State: optimized geometry

Computed properties:
Size of the total moment: 0.00 μB/cell
Raw formation energy: -0.3568 eV/atom

Cell: 6.579 6.579 14.063 Å, 90.00 90.00 127.03°
Positions (direct):
Tm  0.070  0.930  0.612
Tm  0.070  0.930  0.888
Tm  0.341  0.659  0.250
Tm  0.377  0.623  0.571
Tm  0.377  0.623  0.929
Tm  0.623  0.377  0.071
Tm  0.623  0.377  0.429
Tm  0.659  0.341  0.750
Tm  0.930  0.070  0.112
Tm  0.930  0.070  0.388
Ga  0.247  0.753  0.750
Ga  0.753  0.247  0.250
Sb  0.186  0.814  0.082
Sb  0.186  0.814  0.418
Sb  0.814  0.186  0.582
Sb  0.814  0.186  0.918

# 4
Material: Tb3CeTm3Se8
Method: DFT, PBE-GGA
State: optimized geometry

Computed properties:
Size of the total moment: 1.42 μB/cell
Raw formation energy: -1.7858 eV/atom

Cell: 8.104 8.104 8.104 Å, 60.09 60.09 60.09°
Positions (direct):
Tb  0.000  0.500  0.500
Tb  0.500  0.000  0.500
Tb  0.500  0.500  0.000
Ce  0.500  0.500  0.500
Tm  0.000  0.000  0.500
Tm  0.000  0.500  0.000
Tm  0.500  0.000  0.000
Se  0.235  0.760  0.760
Se  0.240  0.240  0.765
Se  0.240  0.765  0.240
Se  0.248  0.248  0.248
Se  0.752  0.752  0.752
Se  0.760  0.235  0.760
Se  0.760  0.760  0.235
Se  0.765  0.240  0.240

# 5
Material: KLaZr2
Method: DFT, PBE-GGA
State: optimized geometry

Computed properties:
Energy of formation from the pure elements: 259 kJ/mol of formula units
Size of the total moment: 0.00 μB/cell
Energy above the most stable polymorph in this dataset: 0.3492 eV/atom

Cell: 3.220 6.391 12.445 Å, 90.00 90.00 90.00°
Positions (direct):
K  0.000  0.000  0.000
K  0.500  0.500  0.500
La  0.000  0.500  0.788
La  0.500  0.000  0.288
Zr  0.000  0.000  0.540
Zr  0.000  0.500  0.231
Zr  0.500  0.000  0.731
Zr  0.500  0.500  0.040

# 6
Material: TeAsW2
Method: DFT, PBE-GGA
State: optimized geometry

Computed properties:
Size of the total moment: 0.00 μB/cell
Raw formation energy: 0.6362 eV/atom
Energy above the most stable polymorph in this dataset: 0.4528 eV/atom

Cell: 3.171 3.171 24.472 Å, 90.00 90.00 120.00°
Positions (direct):
Te  0.000  0.000  0.000
Te  0.333  0.667  0.667
Te  0.667  0.333  0.333
As  0.000  0.000  0.500
As  0.333  0.667  0.167
As  0.667  0.333  0.833
W  0.000  0.000  0.244
W  0.000  0.000  0.756
W  0.333  0.667  0.423
W  0.333  0.667  0.911
W  0.667  0.333  0.089
W  0.667  0.333  0.577

# 7
Material: LiAcHoTe3
Method: DFT, PBE-GGA
State: optimized geometry

Computed properties:
Size of the total moment: 0.00 μB/cell
Raw formation energy: -1.3321 eV/atom

Cell: 9.143 4.400 9.733 Å, 90.00 104.67 90.00°
Positions (direct):
Li  0.087  0.250  0.088
Li  0.913  0.750  0.912
Ac  0.192  0.250  0.735
Ac  0.808  0.750  0.265
Ho  0.333  0.750  0.347
Ho  0.667  0.250  0.653
Te  0.100  0.250  0.373
Te  0.228  0.750  0.013
Te  0.443  0.750  0.676
Te  0.557  0.250  0.324
Te  0.772  0.250  0.987
Te  0.900  0.750  0.627

# 8
Material: La2Si3Pt5
Method: DFT, PBE-GGA
State: optimized geometry

Computed properties:
Size of the total moment: 0.00 μB/cell
Raw formation energy: -0.9267 eV/atom

Cell: 13.636 13.636 6.982 Å, 90.00 90.00 162.58°
Positions (direct):
La  0.020  0.980  0.500
La  0.325  0.675  0.515
La  0.675  0.325  0.015
La  0.980  0.020  0.000
Si  0.113  0.887  0.737
Si  0.283  0.717  0.942
Si  0.431  0.569  0.734
Si  0.569  0.431  0.234
Si  0.717  0.283  0.442
Si  0.887  0.113  0.237
Pt  0.087  0.913  0.084
Pt  0.197  0.803  0.637
Pt  0.238  0.762  0.256
Pt  0.374  0.626  0.008
Pt  0.434  0.566  0.326
Pt  0.566  0.434  0.826
Pt  0.626  0.374  0.508
Pt  0.762  0.238  0.756
Pt  0.803  0.197  0.137
Pt  0.913  0.087  0.584